No. 1
{
  "formula": "YHo12Th5",
  "functional": "PBE",
  "state": "relaxed",
  "e_form_kj_per_mol_fu": 72,
  "cell": [[-7.352, -6.560, -3.909], [0.566, -3.151, -10.149], [2.270, -4.580, 3.416]],
  "species": ["Y", "Ho", "Ho", "Ho", "Ho", "Ho", "Ho", "Ho", "Ho", "Ho", "Ho", "Ho", "Ho", "Th", "Th", "Th", "Th", "Th"],
  "fractional_positions": [[0.000, 0.000, 0.000], [0.834, 0.000, 0.500], [0.166, 0.000, 0.500], [0.663, 0.000, 0.000], [0.337, 0.000, 0.000], [0.333, 0.665, 0.002], [0.002, 0.665, 0.002], [0.998, 0.335, 0.998], [0.667, 0.335, 0.998], [0.499, 0.333, 0.500], [0.832, 0.667, 0.499], [0.168, 0.333, 0.501], [0.501, 0.667, 0.500], [0.500, 0.000, 0.500], [0.168, 0.665, 0.494], [0.832, 0.335, 0.506], [0.667, 0.667, 0.999], [0.333, 0.333, 0.001]]
}

No. 2
{
  "formula": "Sm8Hg2Au",
  "functional": "PBE",
  "state": "relaxed",
  "e_form_kj_per_mol_fu": -300,
  "relative_energy_ev_per_atom": 0.000,
  "cell": [[5.254, 0.000, 0.000], [0.000, 6.993, 0.291], [-2.627, -2.642, 8.918]],
  "species": ["Sm", "Sm", "Sm", "Sm", "Sm", "Sm", "Sm", "Sm", "Hg", "Hg", "Au"],
  "fractional_positions": [[0.409, 0.543, 0.819], [0.660, 0.978, 0.321], [0.797, 0.677, 0.594], [0.981, 0.230, 0.961], [0.203, 0.323, 0.406], [0.340, 0.022, 0.679], [0.591, 0.457, 0.181], [0.019, 0.770, 0.039], [0.817, 0.260, 0.633], [0.183, 0.740, 0.367], [0.500, 0.000, 0.000]]
}

No. 3
{
  "formula": "AlHgOs2",
  "functional": "PBE",
  "state": "relaxed",
  "e_form_kj_per_mol_fu": 77,
  "relative_energy_ev_per_atom": 0.000,
  "cell": [[2.847, 0.000, 0.000], [0.000, 2.847, 0.000], [0.000, 0.000, 8.038]],
  "species": ["Os", "Os", "Hg", "Al"],
  "fractional_positions": [[0.000, 0.000, 0.036], [0.500, 0.500, 0.246], [0.500, 0.500, 0.756], [0.000, 0.000, 0.463]]
}

No. 4
{
  "formula": "BaTiBr3",
  "functional": "PBE",
  "state": "relaxed",
  "e_form_raw_kj_per_mol_atoms": -60,
  "relative_energy_ev_per_atom": 0.561,
  "cell": [[6.253, 0.000, 0.000], [0.000, 6.253, 0.000], [0.000, 0.000, 6.253]],
  "species": ["Ba", "Br", "Br", "Br", "Ti"],
  "fractional_positions": [[0.000, 0.000, 0.000], [0.000, 0.500, 0.000], [0.000, 0.000, 0.500], [0.500, 0.000, 0.000], [0.500, 0.500, 0.500]]
}

No. 5
{
  "formula": "RbLiAlAs2",
  "functional": "PBE",
  "state": "relaxed",
  "e_form_kj_per_mol_fu": -240,
  "cell": [[3.587, 0.000, 0.000], [1.793, 7.148, 0.014], [1.793, 1.304, 9.903]],
  "species": ["Rb", "Rb", "Li", "Li", "Al", "Al", "As", "As", "As", "As"],
  "fractional_positions": [[0.825, 0.727, 0.623], [0.175, 0.273, 0.377], [0.345, 0.410, 0.901], [0.655, 0.590, 0.099], [0.024, 0.108, 0.843], [0.976, 0.892, 0.157], [0.464, 0.759, 0.314], [0.536, 0.241, 0.686], [0.847, 0.235, 0.071], [0.153, 0.765, 0.929]]
}

No. 6
{
  "formula": "HIrS2",
  "functional": "PBE",
  "state": "relaxed",
  "relative_energy_ev_per_atom": 0.350,
  "cell": [[12.205, 0.000, -0.224], [0.000, 4.331, 0.000], [-4.387, 0.000, 4.597]],
  "species": ["H", "H", "H", "H", "S", "S", "S", "S", "S", "S", "S", "S", "Ir", "Ir", "Ir", "Ir"],
  "fractional_positions": [[0.267, 0.079, 0.159], [0.733, 0.921, 0.841], [0.233, 0.579, 0.341], [0.767, 0.421, 0.659], [0.923, 0.959, 0.678], [0.077, 0.041, 0.322], [0.577, 0.459, 0.822], [0.423, 0.541, 0.178], [0.080, 0.620, 0.724], [0.920, 0.380, 0.276], [0.420, 0.120, 0.776], [0.580, 0.880, 0.224], [0.607, 0.188, 0.550], [0.393, 0.812, 0.450], [0.893, 0.688, 0.950], [0.107, 0.312, 0.050]]
}

No. 7
{
  "formula": "Ta2V4Mo",
  "functional": "PBE",
  "state": "relaxed",
  "e_form_kj_per_mol_fu": -8,
  "relative_energy_ev_per_atom": 0.000,
  "cell": [[4.265, -0.232, -1.156], [-2.270, 3.742, -0.646], [1.235, 2.898, 12.442]],
  "species": ["Ta", "Ta", "Ta", "Ta", "V", "V", "V", "V", "V", "V", "V", "V", "Mo", "Mo"],
  "fractional_positions": [[0.517, 0.732, 0.356], [0.376, 0.161, 0.644], [0.230, 0.588, 0.925], [0.663, 0.305, 0.075], [0.088, 0.517, 0.712], [0.511, 0.229, 0.848], [0.805, 0.376, 0.288], [0.233, 0.090, 0.429], [0.661, 0.804, 0.571], [0.381, 0.664, 0.152], [0.092, 0.019, 0.218], [0.801, 0.874, 0.782], [0.947, 0.447, 0.500], [0.946, 0.946, 0.000]]
}

No. 8
{
  "formula": "CaAsP2",
  "functional": "PBE",
  "state": "relaxed",
  "e_form_kj_per_mol_fu": -100,
  "cell": [[-2.365, -2.421, -1.892], [-1.612, -1.055, 3.365], [-4.089, 4.439, -0.567]],
  "species": ["As", "Ca", "P", "P"],
  "fractional_positions": [[0.000, 0.000, 0.303], [0.500, 0.500, 0.883], [0.000, 0.000, 0.927], [0.500, 0.500, 0.387]]
}

Magnetic moment: 0.0; 0.0; 0.0; 3.0; 0.0; 0.0; 0.0; 0.0 (μB per formula unit)